First-principles (PBE with a Hubbard U) data for NaPaVO5 after structural relaxation, as listed in the Alexandria database.

a = 6.057 Å, b = 6.057 Å, c = 8.094 Å
α = 105.41°, β = 105.41°, γ = 101.73°
Fractional coordinates of all 16 atoms:
Na (0.175, 0.825, 0.750)
Na (0.825, 0.175, 0.250)
Pa (0.500, 0.500, 0.000)
Pa (0.500, 0.500, 0.500)
V (0.162, 0.838, 0.250)
V (0.838, 0.162, 0.750)
O (0.150, 0.224, 0.886)
O (0.224, 0.150, 0.386)
O (0.226, 0.670, 0.405)
O (0.330, 0.774, 0.095)
O (0.424, 0.576, 0.750)
O (0.576, 0.424, 0.250)
O (0.670, 0.226, 0.905)
O (0.774, 0.330, 0.595)
O (0.776, 0.850, 0.614)
O (0.850, 0.776, 0.114)

Properties
Magnetization = 1.00 μB per formula unit
Space group = C2/c
VASP energy = -128.71 eV for the cell shown